Compound: Tb2SnRh
Source: Alexandria via LeMat-Bulk
Functional: GGA-PBE
Structure: optimized geometry

Structure (CIF):
```
data_Tb2SnRh
_space_group_name_H-M_alt 'P 1 21/m 1'
_space_group_IT_number 11
_cell_length_a 6.270
_cell_length_b 3.938
_cell_length_c 8.648
_cell_angle_alpha 90.00
_cell_angle_beta 109.31
_cell_angle_gamma 90.00
loop_
_space_group_symop_operation_xyz
'x,y,z'
'-x,-y,-z'
'-x,y+1/2,-z'
'x,-y+1/2,z'
loop_
_atom_site_label
_atom_site_fract_x
_atom_site_fract_y
_atom_site_fract_z
_atom_site_occupancy
Tb1 0.170 0.250 0.392 1
Tb2 0.255 0.750 0.047 1
Sn1 0.376 0.750 0.703 1
Rh1 0.118 0.250 0.797 1
```

## Properties
Formation energy = -0.79 eV per atom

---

Compound: Ca2ReSb
Source: Alexandria via LeMat-Bulk
Functional: GGA-PBE
Structure: optimized geometry

Structure (CIF):
```
data_Ca2ReSb
_space_group_name_H-M_alt 'I 4/m m m'
_space_group_IT_number 139
_space_group_name_Hall '-I 4 2'
_cell_length_a 4.485
_cell_length_b 4.485
_cell_length_c 9.080
_cell_angle_alpha 90.00
_cell_angle_beta 90.00
_cell_angle_gamma 90.00
loop_
_atom_site_label
_atom_site_fract_x
_atom_site_fract_y
_atom_site_fract_z
_atom_site_occupancy
Ca1 0.000 0.500 0.250 1
Re1 0.000 0.000 0.000 1
Sb1 0.000 0.000 0.500 1
```

## Properties
E_form (uncorrected) = 0.3082 eV/atom

---

Compound: ScAgHgPt
Source: Alexandria via LeMat-Bulk
Functional: GGA-PBE
Structure: optimized geometry

Structure (CIF):
```
data_ScAgHgPt
_space_group_name_H-M_alt 'F -4 3 m'
_space_group_IT_number 216
_space_group_name_Hall 'F -4 2 3'
_cell_length_a 6.677
_cell_length_b 6.677
_cell_length_c 6.677
_cell_angle_alpha 90.00
_cell_angle_beta 90.00
_cell_angle_gamma 90.00
loop_
_atom_site_label
_atom_site_fract_x
_atom_site_fract_y
_atom_site_fract_z
_atom_site_occupancy
Sc1 0.000 0.000 0.000 1
Ag1 0.250 0.250 0.750 1
Hg1 0.000 0.000 0.500 1
Pt1 0.250 0.250 0.250 1
```

## Properties
Formation energy = -0.47 eV per atom

---

Compound: NaY6S8
Source: Alexandria via LeMat-Bulk
Functional: GGA-PBE
Structure: optimized geometry

Structure (CIF):
```
data_NaY6S8
_space_group_name_H-M_alt 'F m -3 m'
_space_group_IT_number 225
_space_group_name_Hall '-F 4 2 3'
_cell_length_a 11.048
_cell_length_b 11.048
_cell_length_c 11.048
_cell_angle_alpha 90.00
_cell_angle_beta 90.00
_cell_angle_gamma 90.00
loop_
_atom_site_label
_atom_site_fract_x
_atom_site_fract_y
_atom_site_fract_z
_atom_site_occupancy
Na1 0.000 0.000 0.000 1
Y1 0.000 0.250 0.250 1
S1 0.000 0.000 0.252 1
S2 0.250 0.250 0.250 1
```

## Properties
E_form (uncorrected) = -1.9820 eV/atom

---

Compound: La2GaSb
Source: Alexandria via LeMat-Bulk
Functional: GGA-PBE
Structure: optimized geometry

Structure (CIF):
```
data_La2GaSb
_space_group_name_H-M_alt 'P 4/m m m'
_space_group_IT_number 123
_space_group_name_Hall '-P 4 2'
_cell_length_a 4.055
_cell_length_b 4.055
_cell_length_c 7.036
_cell_angle_alpha 90.00
_cell_angle_beta 90.00
_cell_angle_gamma 90.00
loop_
_atom_site_label
_atom_site_fract_x
_atom_site_fract_y
_atom_site_fract_z
_atom_site_occupancy
La1 0.000 0.000 0.248 1
Ga1 0.500 0.500 0.500 1
Sb1 0.500 0.500 0.000 1
```

## Properties
E_form (uncorrected) = -0.7941 eV/atom

---

Compound: LuScBi2
Source: Alexandria via LeMat-Bulk
Functional: GGA-PBE
Structure: optimized geometry

Structure (CIF):
```
data_LuScBi2
_space_group_name_H-M_alt 'R -3 m'
_space_group_IT_number 166
_space_group_name_Hall '-R 3 2"'
_cell_length_a 4.3375
_cell_length_b 4.3375
_cell_length_c 21.2717
_cell_angle_alpha 90.00
_cell_angle_beta 90.00
_cell_angle_gamma 120.00
loop_
_atom_site_label
_atom_site_fract_x
_atom_site_fract_y
_atom_site_fract_z
_atom_site_occupancy
Lu1 0.0000 0.0000 0.0000 1
Sc1 0.0000 0.0000 0.5000 1
Bi1 0.0000 0.0000 0.2468 1
```

## Properties
Formation energy = -0.69 eV per atom

---

Compound: AcCuP
Source: Alexandria via LeMat-Bulk
Functional: GGA-PBE
Structure: optimized geometry

Structure (CIF):
```
data_AcCuP
_space_group_name_H-M_alt 'F -4 3 m'
_space_group_IT_number 216
_space_group_name_Hall 'F -4 2 3'
_cell_length_a 6.575
_cell_length_b 6.575
_cell_length_c 6.575
_cell_angle_alpha 90.00
_cell_angle_beta 90.00
_cell_angle_gamma 90.00
loop_
_atom_site_label
_atom_site_fract_x
_atom_site_fract_y
_atom_site_fract_z
_atom_site_occupancy
Ac1 0.000 0.000 0.000 1
Cu1 0.250 0.250 0.250 1
P1 0.000 0.000 0.500 1
```

## Properties
Formation energy = -0.45 eV per atom

---

Compound: ErTi2H
Source: Alexandria via LeMat-Bulk
Functional: GGA-PBE
Structure: optimized geometry

Structure (CIF):
```
data_ErTi2H
_space_group_name_H-M_alt 'R -3 m'
_space_group_IT_number 166
_space_group_name_Hall '-R 3 2"'
_cell_length_a 3.0626
_cell_length_b 3.0626
_cell_length_c 24.2243
_cell_angle_alpha 90.00
_cell_angle_beta 90.00
_cell_angle_gamma 120.00
loop_
_atom_site_label
_atom_site_fract_x
_atom_site_fract_y
_atom_site_fract_z
_atom_site_occupancy
Er1 0.0000 0.0000 0.0000 1
Ti1 0.0000 0.0000 0.1207 1
H1 0.0000 0.0000 0.5000 1
```

## Properties
E = -5.78 eV/atom

---

Compound: Ba6AgGe2I3
Source: Alexandria via LeMat-Bulk
Functional: GGA-PBE
Structure: optimized geometry

Structure (CIF):
```
data_Ba6AgGe2I3
_space_group_name_H-M_alt 'C 1 2/m 1'
_space_group_IT_number 12
_cell_length_a 22.259
_cell_length_b 4.922
_cell_length_c 10.256
_cell_angle_alpha 90.00
_cell_angle_beta 107.83
_cell_angle_gamma 90.00
loop_
_space_group_symop_operation_xyz
'x,y,z'
'-x,-y,-z'
'-x,y,-z'
'x,-y,z'
'x+1/2,y+1/2,z'
'-x+1/2,-y+1/2,-z'
'-x+1/2,y+1/2,-z'
'x+1/2,-y+1/2,z'
loop_
_atom_site_label
_atom_site_fract_x
_atom_site_fract_y
_atom_site_fract_z
_atom_site_occupancy
Ba1 0.013 0.000 0.245 1
Ba2 0.165 0.500 0.111 1
Ba3 0.178 0.500 0.556 1
Ag1 0.000 0.500 0.000 1
Ge1 0.162 0.000 0.321 1
I1 0.000 0.500 0.500 1
I2 0.163 0.000 0.827 1
```

## Properties
E_form (uncorrected) = -0.9423 eV/atom

---

Compound: Li2PuBiO8
Source: Alexandria via LeMat-Bulk
Functional: GGA-PBE
Structure: optimized geometry

Structure (CIF):
```
data_Li2PuBiO8
_space_group_name_H-M_alt 'I -4 m 2'
_space_group_IT_number 119
_space_group_name_Hall 'I -4 -2'
_cell_length_a 6.344
_cell_length_b 6.344
_cell_length_c 7.707
_cell_angle_alpha 90.00
_cell_angle_beta 90.00
_cell_angle_gamma 90.00
loop_
_atom_site_label
_atom_site_fract_x
_atom_site_fract_y
_atom_site_fract_z
_atom_site_occupancy
Li1 0.000 0.000 0.000 1
Li2 0.000 0.500 0.250 1
Pu1 0.000 0.000 0.500 1
Bi1 0.000 0.500 0.750 1
O1 0.000 0.145 0.782 1
O2 0.000 0.301 0.472 1
```

## Properties
E_form (uncorrected) = -1.3434 eV/atom

---

Compound: K2Sn2Te3
Source: Alexandria via LeMat-Bulk
Functional: GGA-PBE
Structure: optimized geometry

Structure (CIF):
```
data_K2Sn2Te3
_space_group_name_H-M_alt 'C 1 2/m 1'
_space_group_IT_number 12
_cell_length_a 13.027
_cell_length_b 5.943
_cell_length_c 7.330
_cell_angle_alpha 90.00
_cell_angle_beta 108.13
_cell_angle_gamma 90.00
loop_
_space_group_symop_operation_xyz
'x,y,z'
'-x,-y,-z'
'-x,y,-z'
'x,-y,z'
'x+1/2,y+1/2,z'
'-x+1/2,-y+1/2,-z'
'-x+1/2,y+1/2,-z'
'x+1/2,-y+1/2,z'
loop_
_atom_site_label
_atom_site_fract_x
_atom_site_fract_y
_atom_site_fract_z
_atom_site_occupancy
K1 0.167 0.000 0.085 1
Sn1 0.112 0.500 0.427 1
Te1 0.000 0.500 0.000 1
Te2 0.164 0.000 0.591 1
```

## Properties
E_form (uncorrected) = -0.5634 eV/atom

---

Compound: TbDyTlNi
Source: Alexandria via LeMat-Bulk
Functional: GGA-PBE
Structure: optimized geometry

Structure (CIF):
```
data_TbDyTlNi
_space_group_name_H-M_alt 'F -4 3 m'
_space_group_IT_number 216
_space_group_name_Hall 'F -4 2 3'
_cell_length_a 7.248
_cell_length_b 7.248
_cell_length_c 7.248
_cell_angle_alpha 90.00
_cell_angle_beta 90.00
_cell_angle_gamma 90.00
loop_
_atom_site_label
_atom_site_fract_x
_atom_site_fract_y
_atom_site_fract_z
_atom_site_occupancy
Tb1 0.000 0.000 0.000 1
Dy1 0.000 0.000 0.500 1
Tl1 0.250 0.250 0.250 1
Ni1 0.250 0.250 0.750 1
```

## Properties
Formation energy = -0.25 eV per atom

---

Compound: Pm2DyHo2Mg5
Source: Alexandria via LeMat-Bulk
Functional: GGA-PBE
Structure: optimized geometry

Structure (CIF):
```
data_Pm2DyHo2Mg5
_space_group_name_H-M_alt 'P 4/m b m'
_space_group_IT_number 127
_space_group_name_Hall '-P 4 2ab'
_cell_length_a 10.604
_cell_length_b 10.604
_cell_length_c 5.075
_cell_angle_alpha 90.00
_cell_angle_beta 90.00
_cell_angle_gamma 90.00
loop_
_atom_site_label
_atom_site_fract_x
_atom_site_fract_y
_atom_site_fract_z
_atom_site_occupancy
Pm1 0.177 0.323 0.000 1
Dy1 0.000 0.000 0.000 1
Ho1 0.120 0.620 0.000 1
Mg1 0.000 0.500 0.500 1
Mg2 0.070 0.802 0.500 1
```

## Properties
Formation energy = 0.04 eV per atom

---

Compound: Ba2CoN2
Source: Alexandria via LeMat-Bulk
Functional: GGA-PBE
Structure: optimized geometry

Structure (CIF):
```
data_Ba2CoN2
_space_group_name_H-M_alt 'P n m a'
_space_group_IT_number 62
_cell_length_a 6.342
_cell_length_b 5.499
_cell_length_c 11.816
_cell_angle_alpha 90.00
_cell_angle_beta 90.00
_cell_angle_gamma 90.00
loop_
_space_group_symop_operation_xyz
'x,y,z'
'-x,-y,-z'
'-x+1/2,-y,z+1/2'
'x+1/2,y,-z+1/2'
'x+1/2,-y+1/2,-z+1/2'
'-x+1/2,y+1/2,z+1/2'
'-x,y+1/2,-z'
'x,-y+1/2,z'
loop_
_atom_site_label
_atom_site_fract_x
_atom_site_fract_y
_atom_site_fract_z
_atom_site_occupancy
Ba1 0.054 0.250 0.176 1
Ba2 0.181 0.250 0.553 1
Co1 0.225 0.250 0.827 1
N1 0.029 0.750 0.247 1
N2 0.238 0.250 0.980 1
```

## Properties
E_form (uncorrected) = -0.3022 eV/atom

---

Compound: Pm3Sm3Y2
Source: Alexandria via LeMat-Bulk
Functional: GGA-PBE
Structure: optimized geometry

Structure (CIF):
```
data_Pm3Sm3Y2
_space_group_name_H-M_alt 'P 1 21/m 1'
_space_group_IT_number 11
_cell_length_a 5.817
_cell_length_b 14.709
_cell_length_c 6.363
_cell_angle_alpha 90.00
_cell_angle_beta 90.05
_cell_angle_gamma 90.00
loop_
_space_group_symop_operation_xyz
'x,y,z'
'-x,-y,-z'
'-x,y+1/2,-z'
'x,-y+1/2,z'
loop_
_atom_site_label
_atom_site_fract_x
_atom_site_fract_y
_atom_site_fract_z
_atom_site_occupancy
Pm1 0.250 0.125 0.170 1
Pm2 0.250 0.750 0.661 1
Sm1 0.250 0.000 0.666 1
Sm2 0.250 0.250 0.672 1
Y1 0.250 0.625 0.163 1
```

## Properties
Formation energy = 0.02 eV per atom

---

Compound: Na4BPd3O8
Source: Alexandria via LeMat-Bulk
Functional: GGA-PBE
Structure: optimized geometry

Structure (CIF):
```
data_Na4BPd3O8
_space_group_name_H-M_alt 'C 1 2/m 1'
_space_group_IT_number 12
_cell_length_a 12.137
_cell_length_b 5.657
_cell_length_c 6.193
_cell_angle_alpha 90.00
_cell_angle_beta 115.43
_cell_angle_gamma 90.00
loop_
_space_group_symop_operation_xyz
'x,y,z'
'-x,-y,-z'
'-x,y,-z'
'x,-y,z'
'x+1/2,y+1/2,z'
'-x+1/2,-y+1/2,-z'
'-x+1/2,y+1/2,-z'
'x+1/2,-y+1/2,z'
loop_
_atom_site_label
_atom_site_fract_x
_atom_site_fract_y
_atom_site_fract_z
_atom_site_occupancy
Na1 0.000 0.000 0.000 1
Na2 0.000 0.500 0.000 1
Na3 0.250 0.250 0.500 1
B1 0.000 0.000 0.500 1
Pd1 0.000 0.500 0.500 1
Pd2 0.250 0.250 0.000 1
O1 0.031 0.196 0.353 1
O2 0.185 0.500 0.731 1
O3 0.209 0.500 0.180 1
```

## Properties
E_form (uncorrected) = -1.0345 eV/atom

---

Compound: Sr3CdHg4
Source: Alexandria via LeMat-Bulk
Functional: GGA-PBE
Structure: optimized geometry

Structure (CIF):
```
data_Sr3CdHg4
_space_group_name_H-M_alt 'I m m m'
_space_group_IT_number 71
_space_group_name_Hall '-I 2 2'
_cell_length_a 4.341
_cell_length_b 7.968
_cell_length_c 15.571
_cell_angle_alpha 90.00
_cell_angle_beta 90.00
_cell_angle_gamma 90.00
loop_
_atom_site_label
_atom_site_fract_x
_atom_site_fract_y
_atom_site_fract_z
_atom_site_occupancy
Sr1 0.000 0.000 0.000 1
Sr2 0.000 0.500 0.187 1
Cd1 0.000 0.000 0.500 1
Hg1 0.000 0.298 0.370 1
```

## Properties
Formation energy = -0.38 eV per atom

---

Compound: K2CoTe
Source: Alexandria via LeMat-Bulk
Functional: GGA-PBE
Structure: optimized geometry

Structure (CIF):
```
data_K2CoTe
_space_group_name_H-M_alt 'P 1 2/m 1'
_space_group_IT_number 10
_cell_length_a 3.451
_cell_length_b 4.740
_cell_length_c 8.227
_cell_angle_alpha 90.00
_cell_angle_beta 90.25
_cell_angle_gamma 90.00
loop_
_space_group_symop_operation_xyz
'x,y,z'
'-x,-y,-z'
'-x,y,-z'
'x,-y,z'
loop_
_atom_site_label
_atom_site_fract_x
_atom_site_fract_y
_atom_site_fract_z
_atom_site_occupancy
K1 0.003 0.000 0.237 1
Co1 0.500 0.500 0.500 1
Te1 0.500 0.500 0.000 1
```

## Properties
E_form (uncorrected) = 0.2819 eV/atom

---

Compound: Dy4ZnSb
Source: Alexandria via LeMat-Bulk
Functional: GGA-PBE
Structure: optimized geometry

Structure (CIF):
```
data_Dy4ZnSb
_space_group_name_H-M_alt 'C 1 2/c 1'
_space_group_IT_number 15
_cell_length_a 8.751
_cell_length_b 13.589
_cell_length_c 5.990
_cell_angle_alpha 90.00
_cell_angle_beta 113.27
_cell_angle_gamma 90.00
loop_
_space_group_symop_operation_xyz
'x,y,z'
'-x,-y,-z'
'-x,y,-z+1/2'
'x,-y,z+1/2'
'x+1/2,y+1/2,z'
'-x+1/2,-y+1/2,-z'
'-x+1/2,y+1/2,-z+1/2'
'x+1/2,-y+1/2,z+1/2'
loop_
_atom_site_label
_atom_site_fract_x
_atom_site_fract_y
_atom_site_fract_z
_atom_site_occupancy
Dy1 0.108 0.185 0.065 1
Dy2 0.204 0.416 0.344 1
Zn1 0.000 0.000 0.250 1
Sb1 0.000 0.383 0.750 1
```

## Properties
E_form (uncorrected) = -0.4222 eV/atom

---

Compound: AcDy12Th5
Source: Alexandria via LeMat-Bulk
Functional: GGA-PBE
Structure: optimized geometry

Structure (CIF):
```
data_AcDy12Th5
_space_group_name_H-M_alt 'C m m m'
_space_group_IT_number 65
_space_group_name_Hall '-C 2 2'
_cell_length_a 15.017
_cell_length_b 15.294
_cell_length_c 5.090
_cell_angle_alpha 90.00
_cell_angle_beta 90.00
_cell_angle_gamma 90.00
loop_
_atom_site_label
_atom_site_fract_x
_atom_site_fract_y
_atom_site_fract_z
_atom_site_occupancy
Ac1 0.000 0.000 0.000 1
Dy1 0.162 0.500 0.000 1
Dy2 0.163 0.335 0.500 1
Dy3 0.164 0.170 0.000 1
Dy4 0.166 0.000 0.500 1
Th1 0.000 0.172 0.500 1
Th2 0.000 0.335 0.000 1
Th3 0.000 0.500 0.500 1
```

## Properties
Formation energy = 0.04 eV per atom

---

Compound: NaZnPb2
Source: Alexandria via LeMat-Bulk
Functional: GGA-PBE
Structure: optimized geometry

Structure (CIF):
```
data_NaZnPb2
_space_group_name_H-M_alt 'P 4/m m m'
_space_group_IT_number 123
_space_group_name_Hall '-P 4 2'
_cell_length_a 4.887
_cell_length_b 4.887
_cell_length_c 4.331
_cell_angle_alpha 90.00
_cell_angle_beta 90.00
_cell_angle_gamma 90.00
loop_
_atom_site_label
_atom_site_fract_x
_atom_site_fract_y
_atom_site_fract_z
_atom_site_occupancy
Na1 0.000 0.000 0.000 1
Zn1 0.500 0.500 0.000 1
Pb1 0.000 0.500 0.500 1
```

## Properties
Formation energy = 0.00 eV per atom

---

Compound: AcPm7Y2
Source: Alexandria via LeMat-Bulk
Functional: GGA-PBE
Structure: optimized geometry

Structure (CIF):
```
data_AcPm7Y2
_space_group_name_H-M_alt 'P -1'
_space_group_IT_number 2
_cell_length_a 6.688
_cell_length_b 6.790
_cell_length_c 8.524
_cell_angle_alpha 73.48
_cell_angle_beta 72.31
_cell_angle_gamma 83.64
loop_
_space_group_symop_operation_xyz
'x,y,z'
'-x,-y,-z'
loop_
_atom_site_label
_atom_site_fract_x
_atom_site_fract_y
_atom_site_fract_z
_atom_site_occupancy
Ac1 0.000 0.000 0.000 1
Pm1 0.000 0.000 0.500 1
Pm2 0.205 0.590 0.769 1
Pm3 0.223 0.534 0.343 1
Pm4 0.428 0.239 0.059 1
Y1 0.438 0.149 0.632 1
```

## Properties
Formation energy = 0.08 eV per atom

---

Compound: LaMgIn2
Source: Alexandria via LeMat-Bulk
Functional: GGA-PBE
Structure: optimized geometry

Structure (CIF):
```
data_LaMgIn2
_space_group_name_H-M_alt 'I m m m'
_space_group_IT_number 71
_space_group_name_Hall '-I 2 2'
_cell_length_a 3.502
_cell_length_b 5.611
_cell_length_c 12.427
_cell_angle_alpha 90.00
_cell_angle_beta 90.00
_cell_angle_gamma 90.00
loop_
_atom_site_label
_atom_site_fract_x
_atom_site_fract_y
_atom_site_fract_z
_atom_site_occupancy
La1 0.000 0.000 0.000 1
Mg1 0.000 0.000 0.500 1
In1 0.000 0.000 0.270 1
```

## Properties
Formation energy = 0.06 eV per atom